# 1
# Tm3AlC

A relaxed Tm3AlC crystal (PBE-GGA, Alexandria via LeMat-Bulk).

```
Tm3AlC
1.0
4.7978 0.0000 0.0000
0.0000 4.7978 0.0000
0.0000 0.0000 4.7978
Tm Al C
3 1 1
direct
0.0000 0.0000 0.5000 Tm
0.0000 0.5000 0.0000 Tm
0.5000 0.0000 0.0000 Tm
0.5000 0.5000 0.5000 Al
0.0000 0.0000 0.0000 C
```

D(E_F) in states/eV per cell: 0.9
Formation energy in eV/atom: -0.453
SG: Pm-3m
Polymorph energy (0 for the lowest one) in meV/atom: 0
E in eV per atom: -5.729


# 2
# LiCdRe2

A relaxed LiCdRe2 crystal (PBE-GGA, Alexandria via LeMat-Bulk).

```
LiCdRe2
1.0
-1.8352 1.8352 10.0057
1.8352 -1.8352 10.0057
1.8352 1.8352 -10.0057
Li Cd Re
2 2 4
direct
0.0000 0.0000 0.0000 Li
0.7500 0.2500 0.5000 Li
0.2500 0.7500 0.5000 Cd
0.5000 0.5000 0.0000 Cd
0.0974 0.6250 0.9724 Re
0.3750 0.3474 0.4724 Re
0.6526 0.1250 0.0276 Re
0.8750 0.9026 0.5276 Re
```

D(E_F) in states/eV per cell: 4.2
Formation energy in eV/atom: 0.658
SG: I-42d
E in eV per atom: -6.273


# 3
# AlHPd3

A relaxed AlHPd3 crystal (PBE-GGA, Alexandria via LeMat-Bulk).

```
AlHPd3
1.0
4.0597 0.0000 0.0000
0.0000 5.3884 0.0000
-0.0085 0.0000 5.9609
Al H Pd
2 2 6
direct
0.0008 0.2500 0.3149 Al
0.9992 0.7500 0.6851 Al
0.4953 0.7500 0.2349 H
0.5047 0.2500 0.7651 H
0.0005 0.2500 0.7501 Pd
0.9995 0.7500 0.2499 Pd
0.4990 0.7500 0.9274 Pd
0.5000 0.0000 0.5000 Pd
0.5000 0.5000 0.5000 Pd
0.5010 0.2500 0.0726 Pd
```

D(E_F) in states/eV per cell: 1.6
SG: P2_1/m
Polymorph energy (0 for the lowest one) in meV/atom: 129
E in eV per atom: -4.960


Which formula does entry 2 have? LiCdRe2


Copy entry 3 word for word.
# AlHPd3

A relaxed AlHPd3 crystal (PBE-GGA, Alexandria via LeMat-Bulk).

```
AlHPd3
1.0
4.0597 0.0000 0.0000
0.0000 5.3884 0.0000
-0.0085 0.0000 5.9609
Al H Pd
2 2 6
direct
0.0008 0.2500 0.3149 Al
0.9992 0.7500 0.6851 Al
0.4953 0.7500 0.2349 H
0.5047 0.2500 0.7651 H
0.0005 0.2500 0.7501 Pd
0.9995 0.7500 0.2499 Pd
0.4990 0.7500 0.9274 Pd
0.5000 0.0000 0.5000 Pd
0.5000 0.5000 0.5000 Pd
0.5010 0.2500 0.0726 Pd
```

D(E_F) in states/eV per cell: 1.6
SG: P2_1/m
Polymorph energy (0 for the lowest one) in meV/atom: 129
E in eV per atom: -4.960